The following is a DFT calculation (GGA-PBE) of a relaxed structure of AlCu2Au7.

Values from the calculation:
**Volume**: 179.8 Å³/cell
**Formation energy**: -25 meV/atom
**Total magnetic moment**: 0.00 μB/cell

Cell lengths 4.4066, 4.4066, 10.6944 Å; angles 90.00, 90.00, 120.00 degrees
Closest atoms and distances in Å follow each position.
Fractional coordinates of all 10 atoms:
Au: 0.6667 0.3333 0.5863  4 Cu 2.50-2.74
Au: 0.3333 0.6667 0.9707  3 Al 2.62, 3 Au 2.86
Au: 0.6667 0.3333 0.8485  8 Au 2.80-2.86, 3 Cu 3.11
Au: 0.6667 0.3333 0.1157  1 Cu 2.53, 3 Al 2.70
Au: 0.0000 0.0000 0.7259  3 Cu 2.59, 3 Au 2.86
Au: 0.3333 0.6667 0.4291  4 Cu 2.67-2.70
Au: 0.0000 0.0000 0.2764  1 Al 2.64, 3 Cu 2.67
Cu: 0.3333 0.6667 0.6817  7 Au 2.59-2.74
Cu: 0.6667 0.3333 0.3524  8 Au 2.50-2.67
Al: 0.0000 0.0000 0.0299  7 Au 2.62-2.70

The following is a DFT calculation (GGA-PBE) of a relaxed structure of Al2CuAu3.

Values from the calculation:
**Volume**: 192.1 Å³/cell
**Formation energy**: -257 meV/atom
**Total magnetic moment**: 0.00 μB/cell
**Energy above the most stable polymorph in this dataset**: 0.0154 eV per atom

Cell lengths 4.3959, 7.6964, 7.6964 Å; angles 117.75, 106.59, 106.59 degrees
Closest atoms and distances in Å follow each position.
Fractional coordinates of all 12 atoms:
Au: 0.0118 0.6774 0.8462  5 Al 2.68-2.81, 3 Cu 2.77-2.80
Au: 0.5000 0.5000 0.0000  6 Al 2.72-2.76, 2 Cu 2.80
Au: 0.9882 0.3226 0.1538  5 Al 2.68-2.81, 3 Cu 2.77-2.80
Au: 0.5118 0.8462 0.6774  5 Al 2.68-2.81, 3 Cu 2.77-2.80
Au: 0.4882 0.1538 0.3226  5 Al 2.68-2.81, 3 Cu 2.77-2.80
Au: 0.0000 0.0000 0.5000  6 Al 2.72-2.76, 2 Cu 2.80
Cu: 0.7500 0.5790 0.4210  8 Au 2.77-2.80, 2 Cu 3.03, 2 Al 3.04
Cu: 0.2500 0.4210 0.5790  8 Au 2.77-2.80, 2 Cu 3.03, 2 Al 3.04
Al: 0.7500 0.9139 0.0861  8 Au 2.71-2.75
Al: 0.7500 0.2611 0.7389  8 Au 2.68-2.81
Al: 0.2500 0.7389 0.2611  8 Au 2.68-2.81
Al: 0.2500 0.0861 0.9139  8 Au 2.71-2.75

The following is a DFT calculation (GGA-PBE) of a relaxed structure of AlCuAu2.

Values from the calculation:
**Volume**: 63.4 Å³/cell
**Formation energy**: -211 meV/atom
**Total magnetic moment**: 0.00 μB/cell

Cell lengths 3.1365, 3.4879, 5.7965 Å; angles 90.00, 90.00, 90.00 degrees
Closest atoms and distances in Å follow each position.
Fractional coordinates of all 4 atoms:
Cu: 0.0000 0.0000 0.5078  5 Au 2.67-2.68, 4 Al 2.70
Al: 0.5000 0.5000 0.7396  5 Au 2.64-2.70, 4 Cu 2.70
Au: 0.0000 0.0000 0.9689  1 Cu 2.67, 4 Al 2.70, 4 Au 2.97
Au: 0.5000 0.5000 0.2837  1 Al 2.64, 4 Cu 2.68

The following is a DFT calculation (GGA-PBE) of a relaxed structure of AlCuAu4.

Values from the calculation:
**Volume**: 213.0 Å³/cell
**Formation energy**: -135 meV/atom
**Total magnetic moment**: 0.00 μB/cell
**Energy above the most stable polymorph in this dataset**: 0.0000 eV per atom

Cell lengths 4.1551, 4.0985, 12.6768 Å; angles 90.00, 99.43, 90.00 degrees
Closest atoms and distances in Å follow each position.
Fractional coordinates of all 12 atoms:
Au: 0.6319 0.5000 0.2638  2 Al 2.61, 6 Au 2.89-2.92, 2 Cu 2.91
Au: 0.7134 0.0000 0.4267  6 Cu 2.75-2.92, 6 Au 2.77-2.90
Au: 0.0000 0.0000 0.0000  4 Al 2.68, 4 Au 2.92
Au: 0.5000 0.5000 0.0000  4 Al 2.65, 4 Au 2.92
Au: 0.1322 0.0000 0.2644  2 Al 2.64, 2 Cu 2.88, 6 Au 2.90-2.92
Au: 0.2866 0.0000 0.5733  6 Cu 2.75-2.92, 6 Au 2.77-2.90
Au: 0.3681 0.5000 0.7362  2 Al 2.61, 6 Au 2.89-2.92, 2 Cu 2.91
Au: 0.8678 0.0000 0.7356  2 Al 2.64, 2 Cu 2.88, 6 Au 2.90-2.92
Cu: 0.7869 0.5000 0.5738  10 Au 2.75-2.92, 2 Cu 2.78
Cu: 0.2131 0.5000 0.4262  10 Au 2.75-2.92, 2 Cu 2.78
Al: 0.5674 0.0000 0.1348  8 Au 2.61-2.68
Al: 0.4326 0.0000 0.8652  8 Au 2.61-2.68

The following is a DFT calculation (GGA-PBE) of a relaxed structure of AlCu4Au.

Values from the calculation:
**Volume**: 161.6 Å³/cell
**Formation energy**: -133 meV/atom
**Total magnetic moment**: 0.00 μB/cell
**Energy above the most stable polymorph in this dataset**: 0.0105 eV per atom

Cell lengths 4.5648, 4.6511, 8.1777 Å; angles 71.68, 90.80, 100.97 degrees
Closest atoms and distances in Å follow each position.
Fractional coordinates of all 12 atoms:
Au: 0.5000 0.5000 0.0000  2 Al 2.64, 10 Cu 2.66-2.71
Au: 0.0000 0.5000 0.5000  2 Al 2.64, 10 Cu 2.66-2.71
Cu: 0.2610 0.0017 0.5871  3 Al 2.58-2.76, 7 Cu 2.63-2.76, 2 Au 2.70-2.71
Cu: 0.7390 0.9983 0.4129  3 Al 2.58-2.76, 7 Cu 2.63-2.76, 2 Au 2.70-2.71
Cu: 0.5020 0.5009 0.6692  7 Cu 2.61-2.77, 2 Al 2.66-2.68, 3 Au 2.66-2.70
Cu: 0.7610 0.0018 0.0871  3 Al 2.58-2.76, 7 Cu 2.63-2.76, 2 Au 2.70-2.71
Cu: 0.4980 0.4991 0.3308  7 Cu 2.61-2.77, 2 Al 2.66-2.68, 3 Au 2.66-2.70
Cu: 0.9980 0.4992 0.8308  7 Cu 2.61-2.77, 2 Al 2.66-2.68, 3 Au 2.66-2.70
Cu: 0.2390 0.9982 0.9129  3 Al 2.58-2.76, 7 Cu 2.63-2.76, 2 Au 2.70-2.71
Cu: 0.0020 0.5008 0.1692  7 Cu 2.61-2.77, 2 Al 2.66-2.68, 3 Au 2.66-2.70
Al: 0.7500 0.0000 0.7500  10 Cu 2.58-2.76, 2 Au 2.64
Al: 0.2500 0.0000 0.2500  10 Cu 2.58-2.76, 2 Au 2.64

The following is a DFT calculation (GGA-PBE) of a relaxed structure of AlCuAu5.

Values from the calculation:
**Volume**: 181.2 Å³/cell
**Formation energy**: 314 meV/atom
**Total magnetic moment**: 0.00 μB/cell
**Energy above the most stable polymorph in this dataset**: 0.4222 eV per atom

Cell lengths 7.2835, 5.3673, 6.4765 Å; angles 114.48, 124.22, 90.00 degrees
Closest atoms and distances in Å follow each position.
Fractional coordinates of all 7 atoms:
Au: 0.1696 0.2530 0.0000  1 Cu 2.51, 4 Au 2.65-2.79, 1 Al 2.69
Au: 0.1696 0.7470 0.0000  1 Cu 2.51, 4 Au 2.65-2.79, 1 Al 2.69
Au: 0.7964 0.7592 0.5183  1 Cu 2.46, 1 Al 2.62
Au: 0.2781 0.2408 0.4817  1 Cu 2.46, 1 Al 2.62
Au: 0.8043 0.5000 0.0000  1 Cu 2.49, 2 Al 2.70
Al: 0.8502 0.0000 0.0000  6 Au 2.62-2.70
Cu: 0.4624 0.5000 0.0000  5 Au 2.46-2.51

> Which of these has the lowest formation energy?

Al2CuAu3

> Which of these has the highest volume?

AlCuAu4

> total magnetic moment of number 5 (AlCu4Au)?

0.00 μB/cell